*w*
Here is a relaxed structure of LaOsPd from the Open Quantum Materials Database. Energies are from GGA-PBE.

Unit cell a=4.639 b=4.639 c=4.639 alpha=60.00 beta=60.00 gamma=60.00
Atoms (fractional coordinates):
La1 0.250 0.250 0.250
Os1 0.750 0.750 0.750
Pd1 0.000 0.000 0.000

Output
- symmetry = No. 216

***

*x*
Here is a relaxed structure of LaOsPd from the Open Quantum Materials Database. Energies are from GGA-PBE.

Unit cell a=4.612 b=4.612 c=4.612 alpha=60.00 beta=60.00 gamma=60.00
Atoms (fractional coordinates):
La1 0.000 0.000 0.000
Os1 0.250 0.250 0.250
Pd1 0.750 0.750 0.750

Output
- symmetry = No. 216

***

The most stable arrangement is *w*, and the next structure is 0.375 eV/atom less stable.

***

*w*
Here is a relaxed structure of La2TbSn5Pb2 from the Open Quantum Materials Database. Energies are from GGA-PBE.

Unit cell a=13.305 b=13.305 c=4.700 alpha=90.00 beta=90.00 gamma=159.80
Atoms (fractional coordinates):
Sn1 0.289 0.711 0.500
La1 0.813 0.187 0.000
Sn2 0.094 0.906 0.500
Pb1 0.593 0.407 0.000
Sn3 0.500 0.500 0.500
Sn4 0.906 0.094 0.500
Sn5 0.711 0.289 0.500
Tb1 0.000 0.000 0.000
La2 0.187 0.813 0.000
Pb2 0.407 0.593 0.000

Output
- symmetry = No. 65

***

*x*
Here is a relaxed structure of La2TbSn5Pb2 from the Open Quantum Materials Database. Energies are from GGA-PBE.

Unit cell a=13.215 b=13.215 c=4.710 alpha=90.00 beta=90.00 gamma=159.74
Atoms (fractional coordinates):
Sn1 0.409 0.591 0.000
La1 0.818 0.182 0.000
Sn2 0.908 0.092 0.500
Pb1 0.707 0.293 0.500
Sn3 0.591 0.409 0.000
Tb1 0.000 0.000 0.000
Pb2 0.293 0.707 0.500
Sn4 0.500 0.500 0.500
Sn5 0.092 0.908 0.500
La2 0.182 0.818 0.000

Output
- symmetry = No. 65

***

The most stable arrangement is *w*, and the next structure is 0.006 eV/atom less stable.

***

*w*
Here is a relaxed structure of La2TbSn2Pb5 from the Open Quantum Materials Database. Energies are from GGA-PBE.

Unit cell a=13.342 b=13.342 c=4.802 alpha=90.00 beta=90.00 gamma=159.88
Atoms (fractional coordinates):
La1 0.815 0.185 0.000
Tb1 0.000 0.000 0.000
Sn1 0.592 0.408 0.000
Sn2 0.408 0.592 0.000
La2 0.185 0.815 0.000
Pb1 0.906 0.094 0.500
Pb2 0.292 0.708 0.500
Pb3 0.094 0.906 0.500
Pb4 0.708 0.292 0.500
Pb5 0.500 0.500 0.500

Output
- symmetry = No. 65

***

*x*
Here is a relaxed structure of La2TbSn2Pb5 from the Open Quantum Materials Database. Energies are from GGA-PBE.

Unit cell a=13.421 b=13.421 c=4.789 alpha=90.00 beta=90.00 gamma=160.05
Atoms (fractional coordinates):
Sn1 0.711 0.289 0.500
La1 0.187 0.813 0.000
Pb1 0.500 0.500 0.500
Tb1 0.000 0.000 0.000
Pb2 0.095 0.905 0.500
La2 0.813 0.187 0.000
Pb3 0.406 0.594 0.000
Pb4 0.594 0.406 0.000
Sn2 0.289 0.711 0.500
Pb5 0.905 0.095 0.500

Output
- symmetry = No. 65

***

The most stable arrangement is *x*, and the next structure is 0.010 eV/atom less stable.

***

*w*
Here is a relaxed structure of LaTbZn2Pb2 from the Open Quantum Materials Database. Energies are from GGA-PBE.

Unit cell a=4.680 b=4.680 c=16.421 alpha=90.00 beta=90.00 gamma=120.00
Atoms (fractional coordinates):
Tb1 0.000 0.000 0.000
Pb1 0.667 0.333 0.607
Zn1 0.333 0.667 0.658
Pb2 0.333 0.667 0.393
Pb3 0.333 0.667 0.107
La1 0.000 0.000 0.250
Pb4 0.667 0.333 0.893
Tb2 0.000 0.000 0.500
Zn2 0.667 0.333 0.158
Zn3 0.333 0.667 0.842
La2 0.000 0.000 0.750
Zn4 0.667 0.333 0.342

Output
- symmetry = No. 194

***

*x*
Here is a relaxed structure of LaTbZn2Pb2 from the Open Quantum Materials Database. Energies are from GGA-PBE.

Unit cell a=4.651 b=4.651 c=16.686 alpha=90.00 beta=90.00 gamma=120.00
Atoms (fractional coordinates):
La1 0.000 0.000 0.500
Tb1 0.000 0.000 0.250
Pb1 0.333 0.667 0.384
La2 0.000 0.000 0.000
Zn1 0.667 0.333 0.332
Pb2 0.667 0.333 0.616
Pb3 0.667 0.333 0.884
Zn2 0.333 0.667 0.832
Zn3 0.333 0.667 0.668
Tb2 0.000 0.000 0.750
Zn4 0.667 0.333 0.168
Pb4 0.333 0.667 0.116

Output
- symmetry = No. 194

***

The most stable arrangement is *x*, and the next structure is 0.039 eV/atom less stable.

***

*w*
Here is a relaxed structure of La2Sn4PdPt from the Open Quantum Materials Database. Energies are from GGA-PBE.

Unit cell a=4.583 b=4.605 c=9.892 alpha=90.00 beta=101.80 gamma=90.00
Atoms (fractional coordinates):
Pd1 0.330 0.000 0.153
Sn1 0.361 0.000 0.423
La1 0.148 0.000 0.725
Sn2 0.757 0.000 0.000
La2 0.857 0.500 0.276
Pt1 0.666 0.500 0.845
Sn3 0.242 0.500 0.002
Sn4 0.640 0.500 0.576

Output
- symmetry = No. 6

***

*x*
Here is a relaxed structure of La2Sn4PdPt from the Open Quantum Materials Database. Energies are from GGA-PBE.

Unit cell a=4.715 b=9.831 c=9.831 alpha=26.73 beta=90.00 gamma=90.00
Atoms (fractional coordinates):
Pt1 0.500 0.823 0.823
La1 0.000 0.391 0.391
Pd1 0.000 0.177 0.177
Sn1 0.000 0.041 0.041
Sn2 0.500 0.960 0.960
Sn3 0.000 0.752 0.752
La2 0.500 0.609 0.609
Sn4 0.500 0.247 0.247

Output
- symmetry = No. 38

***

The most stable arrangement is *w*, and the next structure is 0.008 eV/atom less stable.

***

*w*
Here is a relaxed structure of LaSn2PdPt from the Open Quantum Materials Database. Energies are from GGA-PBE.

Unit cell a=4.657 b=4.644 c=10.676 alpha=90.00 beta=90.83 gamma=90.00
Atoms (fractional coordinates):
La1 0.242 0.750 0.745
Sn1 0.750 0.750 0.000
La2 0.758 0.250 0.255
Sn2 0.269 0.750 0.375
Sn3 0.250 0.250 0.000
Sn4 0.731 0.250 0.625
Pd1 0.225 0.250 0.500
Pd2 0.775 0.750 0.500
Pt1 0.747 0.250 0.871
Pt2 0.253 0.750 0.129

Output
- symmetry = No. 11

***

*x*
Here is a relaxed structure of LaSn2PdPt from the Open Quantum Materials Database. Energies are from GGA-PBE.

Unit cell a=4.714 b=4.650 c=10.569 alpha=90.00 beta=91.66 gamma=90.00
Atoms (fractional coordinates):
Sn1 0.797 0.750 0.377
Sn2 0.749 0.250 0.999
La1 0.736 0.750 0.740
Pt1 0.307 0.750 0.502
Pd1 0.243 0.250 0.871
Pd2 0.757 0.750 0.129
Sn3 0.251 0.750 0.001
La2 0.264 0.250 0.260
Sn4 0.203 0.250 0.623
Pt2 0.693 0.250 0.498

Output
- symmetry = No. 11

***

The most stable arrangement is *w*, and the next structure is 0.032 eV/atom less stable.

***

*w*
Here is a relaxed structure of LaPuPd from the Open Quantum Materials Database. Energies are from GGA-PBE.

Unit cell a=4.796 b=4.796 c=4.796 alpha=60.00 beta=60.00 gamma=60.00
Atoms (fractional coordinates):
Pd1 0.000 0.000 0.000
Pu1 0.250 0.250 0.250
La1 0.500 0.500 0.500

Output
- symmetry = No. 216

***

*x*
Here is a relaxed structure of LaPuPd from the Open Quantum Materials Database. Energies are from GGA-PBE.

Unit cell a=4.795 b=4.795 c=4.795 alpha=60.00 beta=60.00 gamma=60.00
Atoms (fractional coordinates):
Pu1 0.750 0.750 0.750
La1 0.000 0.000 0.000
Pd1 0.250 0.250 0.250

Output
- symmetry = No. 216

***

The most stable arrangement is *w*, and the next structure is 0.120 eV/atom less stable.